1.
Sm4ZnGa3 | PBE | optimized geometry

Cell: 4.2108 4.3275 11.2069 Å, 90.00 90.00 90.00°
Positions (direct):
Sm1 0.0000 0.0000 0.0000
Sm2 0.0000 0.5000 0.4985
Sm3 0.5000 0.0000 0.2831
Sm4 0.5000 0.5000 0.7839
Zn1 0.5000 0.0000 0.5725
Ga1 0.0000 0.0000 0.7172
Ga2 0.0000 0.5000 0.2140
Ga3 0.5000 0.5000 0.0699

Calculated formation energy: -4.0 eV/f.u.
E above lowest polymorph: 15 meV/atom
Crystal system: orthorhombic



2.
Tb15Tm2Mg2 | PBE | optimized geometry

Cell: 8.5963 8.5963 8.5963 Å, 80.61 80.61 80.61°
Positions (direct):
Tb1 0.0000 0.0000 0.5000
Tb2 0.0000 0.2984 0.7016
Tb3 0.0000 0.5000 0.0000
Tb4 0.0000 0.7016 0.2984
Tb5 0.1505 0.6362 0.6362
Tb6 0.2984 0.0000 0.7016
Tb7 0.2984 0.7016 0.0000
Tb8 0.3638 0.3638 0.8495
Tb9 0.3638 0.8495 0.3638
Tb10 0.5000 0.0000 0.0000
Tb11 0.6362 0.1505 0.6362
Tb12 0.6362 0.6362 0.1505
Tb13 0.7016 0.0000 0.2984
Tb14 0.7016 0.2984 0.0000
Tb15 0.8495 0.3638 0.3638
Tm1 0.3232 0.3232 0.3232
Tm2 0.6768 0.6768 0.6768
Mg1 0.0929 0.0929 0.0929
Mg2 0.9071 0.9071 0.9071

Calculated formation energy: 4.6 eV/f.u.
Crystal system: trigonal



3.
Al2PdBr | PBE | optimized geometry

Cell: 7.2265 7.2265 7.2265 Å, 129.71 129.71 73.87°
Positions (direct):
Al1 0.0578 0.6250 0.9328
Al2 0.3750 0.3078 0.4328
Al3 0.6922 0.1250 0.0672
Al4 0.8750 0.9422 0.5672
Pd1 0.0000 0.0000 0.0000
Pd2 0.7500 0.2500 0.5000
Br1 0.2500 0.7500 0.5000
Br2 0.5000 0.5000 0.0000

E_form (uncorrected): -0.6 eV per formula unit
E above lowest polymorph: 0 meV/atom
Crystal system: tetragonal



4.
Ca3MgCu | PBE | optimized geometry

Cell: 5.5641 5.5641 5.5641 Å, 90.00 90.00 90.00°
Positions (direct):
Ca1 0.0000 0.0000 0.5000
Ca2 0.0000 0.5000 0.0000
Ca3 0.5000 0.0000 0.0000
Mg1 0.5000 0.5000 0.5000
Cu1 0.0000 0.0000 0.0000

Calculated formation energy: 0.3 eV/f.u.
E above lowest polymorph: 114 meV/atom
Crystal system: cubic



5.
LaTbTmTl | PBE | optimized geometry

Cell: 5.5571 5.5571 5.5571 Å, 60.00 60.00 60.00°
Positions (direct):
La1 0.0000 0.0000 0.0000
Tb1 0.5000 0.5000 0.5000
Tm1 0.2500 0.2500 0.2500
Tl1 0.7500 0.7500 0.7500

Calculated formation energy: -0.3 eV/f.u.
E above lowest polymorph: 0 meV/atom
Crystal system: cubic



6.
Sr2Tl2Hg4Pb | PBE | optimized geometry

Cell: 7.4216 7.4216 7.4216 Å, 120.84 120.84 88.55°
Positions (direct):
Sr1 0.2500 0.7500 0.5000
Sr2 0.7500 0.2500 0.5000
Tl1 0.2084 0.2084 0.0000
Tl2 0.7916 0.7916 0.0000
Hg1 0.2137 0.2137 0.4275
Hg2 0.2137 0.7863 0.0000
Hg3 0.7863 0.2137 0.0000
Hg4 0.7863 0.7863 0.5725
Pb1 0.5000 0.5000 0.0000

Calculated formation energy: -2.0 eV/f.u.
Crystal system: tetragonal



no.,magnetic moment (μB per formula unit),DFT total energy (eV per atom)
1,0.002,-4.16
2,0.000,-4.05
3,0.000,-3.73
4,0.000,-2.28
5,1.066,-4.17
6,0.000,-1.67